Entry 1:
Crystalline Pr5Th2Te12 at its relaxed geometry. Source: the Alexandria database, functional PBE.

Calculated values
- spin magnetization (μB per atom) = 0.000
- formation energy from raw total energies (eV per atom) = -1.22

Cell: 17.6425 8.5243 10.3136 Å, 90.00 107.82 90.00°
Space group C2/m (No. 12)
Unique sites:
Pr  0.0000  0.0000  0.0000 (multiplicity 2)
Pr  0.1839  0.5000  0.3263 (multiplicity 4)
Pr  0.2093  0.5000  0.8685 (multiplicity 4)
Th  0.0000  0.2542  0.5000 (multiplicity 4)
Te  0.0057  0.5000  0.7301 (multiplicity 4)
Te  0.0272  0.0000  0.3098 (multiplicity 4)
Te  0.1451  0.2557  0.0605 (multiplicity 8)
Te  0.1832  0.2722  0.6030 (multiplicity 8)

=====

Entry 2:
Crystalline Li3CeBi3 at its relaxed geometry. Source: the Alexandria database, functional PBE.

Calculated values
- formation energy from the elements (eV per atom) = -0.038
- spin magnetization (μB per atom) = 0.129

Cell: 7.3111 7.3111 7.3111 Å, 90.00 90.00 90.00°
Space group Pm-3n (No. 223)
Unique sites:
Li  0.0000  0.2500  0.5000 (multiplicity 6)
Ce  0.0000  0.0000  0.0000 (multiplicity 2)
Bi  0.0000  0.5000  0.2500 (multiplicity 6)

=====

Entry 3:
Crystalline Co4NiPt2Rh2 at its relaxed geometry. Source: the Alexandria database, functional PBE.

Calculated values
- formation energy from the elements (eV per atom) = -0.018
- spin magnetization (μB per atom) = 1.133

Cell: 11.1676 3.7123 5.9370 Å, 90.00 108.04 90.00°
Space group C2/m (No. 12)
Unique sites:
Co  0.0600  0.0000  0.3406 (multiplicity 4)
Co  0.2216  0.5000  0.3432 (multiplicity 4)
Ni  0.0000  0.5000  0.0000 (multiplicity 2)
Pt  0.1599  0.0000  0.0069 (multiplicity 4)
Rh  0.1106  0.5000  0.6562 (multiplicity 4)

=====

Entry 4:
Crystalline TaAgPb2 at its relaxed geometry. Source: the Alexandria database, functional PBE.

Calculated values
- formation energy from the elements (eV per atom) = 0.579
- spin magnetization (μB per atom) = 0.000

Cell: 10.3179 3.1280 5.7518 Å, 90.00 96.58 90.00°
Space group C2/m (No. 12)
Unique sites:
Ta  0.0000  0.0000  0.0000 (multiplicity 2)
Ag  0.0000  0.5000  0.5000 (multiplicity 2)
Pb  0.2415  0.5000  0.2396 (multiplicity 4)

=====

Entry 5:
Crystalline TiFe2TcAg at its relaxed geometry. Source: the Alexandria database, functional PBE.

Calculated values
- formation energy from the elements (eV per atom) = 1.389
- spin magnetization (μB per atom) = 0.000

Cell: 4.2939 4.2939 4.9746 Å, 90.00 90.00 90.00°
Space group P4/mmm (No. 123)
Unique sites:
Ti  0.0000  0.0000  0.0000 (multiplicity 1)
Fe  0.0000  0.5000  0.5000 (multiplicity 2)
Tc  0.5000  0.5000  0.5000 (multiplicity 1)
Ag  0.5000  0.5000  0.0000 (multiplicity 1)

=====

Entry 6:
Crystalline KY3Sc at its relaxed geometry. Source: the Alexandria database, functional PBE.

Calculated values
- formation energy from the elements (eV per atom) = 1.147
- spin magnetization (μB per atom) = 0.000

Cell: 5.4476 5.4476 5.4476 Å, 90.00 90.00 90.00°
Space group Pm-3m (No. 221)
Unique sites:
K  0.0000  0.0000  0.0000 (multiplicity 1)
Y  0.0000  0.0000  0.5000 (multiplicity 3)
Sc  0.5000  0.5000  0.5000 (multiplicity 1)